Entry 1:
4
Lattice="3.228 0.000 0.000 0.000 3.228 0.000 0.000 0.000 6.666" Properties=species:S:1:pos:R:3 comment="ZnInAu2 SCAN PBEsol geometry" magmom_total_mub_per_cell=0.00 energy_ev_per_atom=-46.479 space_group="P4/mmm (123)" dos_at_fermi_per_ev_cell=1.17 pbc="T T T"
Zn 0.000 0.000 0.000
In 0.000 0.000 3.333
Au 1.614 1.614 1.460
Au 1.614 1.614 5.206

Entry 2:
16
Lattice="4.181 0.000 0.000 0.000 4.181 0.000 0.000 0.000 18.186" Properties=species:S:1:pos:R:3 comment="LiCd2Si SCAN PBEsol geometry" magmom_total_mub_per_cell=0.00 energy_ev_per_atom=-18.091 space_group="I-42d (122)" dos_at_fermi_per_ev_cell=6.46 formation_energy_uncorrected_kj_per_mol_atoms=21.00 pbc="T T T"
Li 0.000 0.000 0.000
Li 0.000 2.091 4.547
Li 2.091 0.000 13.640
Li 2.091 2.091 9.093
Cd 1.047 1.045 2.273
Cd 1.043 1.045 11.366
Cd 1.045 3.138 6.820
Cd 1.045 3.134 15.913
Cd 3.136 1.043 6.820
Cd 3.136 1.047 15.913
Cd 3.134 3.136 2.273
Cd 3.138 3.136 11.366
Si 0.000 0.000 9.093
Si 0.000 2.091 13.640
Si 2.091 0.000 4.547
Si 2.091 2.091 0.000

Entry 3:
4
Lattice="2.788 0.000 0.000 0.000 3.946 0.000 0.000 0.000 5.447" Properties=species:S:1:pos:R:3 comment="LiScOs2 SCAN PBEsol geometry" e_above_lowest_polymorph_mev_per_atom=20 magmom_total_mub_per_cell=0.00 energy_ev_per_atom=-40.098 space_group="Pmm2 (25)" dos_at_fermi_per_ev_cell=1.96 pbc="T T T"
Li 0.000 0.000 0.000
Sc 1.394 1.973 4.080
Os 0.000 0.000 2.505
Os 1.394 1.973 1.454

Entry 4:
5
Lattice="4.098 0.000 0.000 0.000 4.098 0.000 0.000 0.000 4.098" Properties=species:S:1:pos:R:3 comment="FeCo3Tc SCAN PBEsol geometry" e_above_lowest_polymorph_mev_per_atom=0 magmom_total_mub_per_cell=11.20 energy_ev_per_atom=-19.766 space_group="Pm-3m (221)" dos_at_fermi_per_ev_cell=2.84 pbc="T T T"
Fe 0.000 0.000 0.000
Co 0.000 0.000 2.049
Co 0.000 2.049 0.000
Co 2.049 0.000 0.000
Tc 2.049 2.049 2.049

Entry 5:
64
Lattice="11.261 0.000 0.000 0.000 5.617 0.000 0.000 0.000 15.919" Properties=species:S:1:pos:R:3 comment="K2CdSiO4 SCAN PBEsol geometry" magmom_total_mub_per_cell=0.00 energy_ev_per_atom=-12.479 space_group="Pca2_1 (29)" dos_at_fermi_per_ev_cell=0.00 formation_energy_uncorrected_kj_per_mol_atoms=-214.88 pbc="T T T"
K 0.088 0.101 0.000
K 0.168 2.827 6.083
K 2.581 3.067 12.033
K 2.710 0.217 9.900
K 2.921 0.217 1.941
K 3.049 3.067 4.073
K 5.462 2.827 14.043
K 5.542 0.101 7.959
K 5.718 5.516 0.000
K 5.798 2.790 6.083
K 8.211 2.550 12.033
K 8.340 5.400 9.900
K 8.551 5.400 1.941
K 8.680 2.550 4.073
K 11.092 2.790 14.043
K 11.172 5.516 7.959
Cd 0.147 2.901 2.067
Cd 2.732 0.199 13.969
Cd 2.898 0.199 6.010
Cd 5.483 2.901 10.027
Cd 5.777 2.716 2.067
Cd 8.363 5.418 13.969
Cd 8.528 5.418 6.010
Cd 11.113 2.716 10.027
Si 0.103 0.145 3.997
Si 2.622 2.897 8.110
Si 3.009 2.897 0.151
Si 5.528 0.145 11.957
Si 5.733 5.472 3.997
Si 8.252 2.720 8.110
Si 8.639 2.720 0.151
Si 11.158 5.472 11.957
O 0.027 1.492 11.818
O 0.336 4.779 10.519
O 0.876 4.978 13.192
O 1.240 2.058 8.477
O 1.646 0.665 4.323
O 2.064 1.916 15.134
O 2.161 4.272 7.330
O 2.216 3.266 1.547
O 3.414 3.266 9.506
O 3.469 4.272 15.290
O 3.567 1.916 7.174
O 3.984 0.665 12.283
O 4.391 2.058 0.518
O 4.755 4.978 5.232
O 5.294 4.779 2.559
O 5.603 1.492 3.859
O 5.657 4.124 11.818
O 5.967 0.838 10.519
O 6.506 0.639 13.192
O 6.870 3.559 8.477
O 7.276 4.952 4.323
O 7.694 3.701 15.134
O 7.791 1.345 7.330
O 7.847 2.351 1.547
O 9.044 2.351 9.506
O 9.100 1.345 15.290
O 9.197 3.701 7.174
O 9.615 4.952 12.283
O 10.021 3.559 0.518
O 10.385 0.639 5.232
O 10.924 0.838 2.559
O 11.234 4.124 3.859

Entry 6:
12
Lattice="2.667 0.000 0.000 -1.334 2.310 0.000 0.000 0.000 26.084" Properties=species:S:1:pos:R:3 comment="CrMoRh2 SCAN PBEsol geometry" e_above_lowest_polymorph_mev_per_atom=221 magmom_total_mub_per_cell=0.00 energy_ev_per_atom=-30.154 space_group="R-3m (166)" dos_at_fermi_per_ev_cell=11.94 pbc="T T T"
Cr 0.000 0.000 0.000
Cr 0.000 1.540 17.389
Cr 1.334 0.770 8.695
Mo 0.000 0.000 13.042
Mo 0.000 1.540 4.347
Mo 1.334 0.770 21.737
Rh 0.000 0.000 6.628
Rh 0.000 0.000 19.456
Rh 0.000 1.540 10.761
Rh 0.000 1.540 24.018
Rh 1.334 0.770 2.066
Rh 1.334 0.770 15.323

Entry 7:
8
Lattice="8.211 0.000 0.000 0.000 3.208 0.000 -0.937 0.000 5.289" Properties=species:S:1:pos:R:3 comment="Si2TcTe SCAN PBEsol geometry" magmom_total_mub_per_cell=0.00 energy_ev_per_atom=-22.794 space_group="C2/m (12)" dos_at_fermi_per_ev_cell=5.09 formation_energy_uncorrected_kj_per_mol_atoms=28.13 pbc="T T T"
Si 1.716 0.000 0.868
Si 1.453 1.604 4.421
Si 5.822 1.604 0.868
Si 5.558 0.000 4.421
Tc 0.000 1.604 0.000
Tc 4.106 0.000 0.000
Te -0.468 0.000 2.645
Te 3.637 1.604 2.645

Entry 8:
5
Lattice="4.584 0.000 0.000 0.000 4.584 0.000 0.000 0.000 5.461" Properties=species:S:1:pos:R:3 comment="CrAs2OsSe SCAN PBEsol geometry" magmom_total_mub_per_cell=4.26 energy_ev_per_atom=-29.466 space_group="P4/mmm (123)" dos_at_fermi_per_ev_cell=3.45 formation_energy_uncorrected_kj_per_mol_atoms=65.53 pbc="T T T"
Cr 0.000 0.000 0.000
As 0.000 2.292 2.731
As 2.292 0.000 2.731
Os 2.292 2.292 2.731
Se 2.292 2.292 0.000

Entry 9:
12
Lattice="3.053 0.000 0.000 0.000 3.053 0.000 0.000 0.000 19.188" Properties=species:S:1:pos:R:3 comment="P2Pt SCAN PBEsol geometry" magmom_total_mub_per_cell=0.00 energy_ev_per_atom=-30.034 space_group="I4_1/amd (141)" dos_at_fermi_per_ev_cell=4.37 pbc="T T T"
P 0.000 0.763 5.727
P 0.000 0.763 8.664
P 0.000 2.290 10.524
P 0.000 2.290 13.461
P 1.527 0.763 0.930
P 1.527 0.763 3.867
P 1.527 2.290 15.321
P 1.527 2.290 18.258
Pt 0.000 0.763 16.789
Pt 0.000 2.290 2.398
Pt 1.527 0.763 11.992
Pt 1.527 2.290 7.195

Entry 10:
6
Lattice="0.000 3.640 3.640 3.640 0.000 3.640 3.640 3.640 0.000" Properties=species:S:1:pos:R:3 comment="SiIrPt4 SCAN PBEsol geometry" magmom_total_mub_per_cell=1.41 energy_ev_per_atom=-59.708 space_group="F-43m (216)" dos_at_fermi_per_ev_cell=4.77 formation_energy_uncorrected_kj_per_mol_atoms=58.51 pbc="T T T"
Si 0.000 0.000 0.000
Ir 1.820 1.820 1.820
Pt 4.546 2.734 2.734
Pt 2.734 4.546 2.734
Pt 2.734 2.734 4.546
Pt 4.546 4.546 4.546

Entry 11:
10
Lattice="4.777 0.000 0.000 0.000 4.777 0.000 0.000 0.000 10.448" Properties=species:S:1:pos:R:3 comment="BaCd2Pd2 SCAN PBEsol geometry" magmom_total_mub_per_cell=0.00 energy_ev_per_atom=-33.633 space_group="I4/mmm (139)" dos_at_fermi_per_ev_cell=3.48 pbc="T T T"
Ba 0.000 0.000 0.000
Ba 2.388 2.388 5.224
Cd 0.000 0.000 3.823
Cd 0.000 0.000 6.625
Cd 2.388 2.388 1.401
Cd 2.388 2.388 9.047
Pd 0.000 2.388 2.612
Pd 0.000 2.388 7.836
Pd 2.388 0.000 2.612
Pd 2.388 0.000 7.836

Entry 12:
16
Lattice="2.983 0.000 0.000 -0.022 5.040 0.000 -1.462 -2.412 10.385" Properties=species:S:1:pos:R:3 comment="NaNiO2 SCAN PBEsol geometry" magmom_total_mub_per_cell=4.00 energy_ev_per_atom=-9.677 space_group="P-1 (2)" dos_at_fermi_per_ev_cell=3.69 formation_energy_uncorrected_kj_per_mol_atoms=-141.30 pbc="T T T"
Na -0.056 1.740 2.599
Na -0.027 -1.632 7.786
Na 1.525 4.259 2.599
Na 1.555 0.888 7.786
Ni 0.000 0.000 0.000
Ni 0.007 0.054 5.192
Ni 1.481 2.520 0.000
Ni 1.492 2.574 5.192
O 0.125 3.410 0.986
O -0.009 3.430 4.214
O 0.016 1.717 6.170
O 1.346 0.892 0.989
O 0.152 1.735 9.396
O 1.483 0.911 4.214
O 1.508 -0.803 6.170
O 1.374 -0.783 9.398